CeTm2P3 | PBE-GGA | optimized geometry

For the energy relative to the elements, the calculation gives -1565 meV per atom. The calculation puts the total energy at -6.75 eV per atom. Its volume is 135.0 Å³/cell. Its crystal system is orthorhombic. The value obtained for the density of states at the Fermi level is 5.036 states/eV/cell.

Unit cell a=6.907 b=6.907 c=6.907 alpha=146.38 beta=131.71 gamma=60.13
Positions (direct):
Ce  0.000  0.000  0.000
Tm  0.334  0.334  0.000
Tm  0.666  0.666  0.000
P  0.170  0.670  0.500
P  0.500  0.000  0.500
P  0.830  0.330  0.500